[1]
Crystalline AcPaHgO5 at its relaxed geometry. Source: the Alexandria database, functional PBE-GGA.

Properties
Raw total energy, eV per atom: -7.525
Calculated volume, Å³ per atom: 18.50
DOS at the Fermi energy, states/eV/cell: 0.0
Energy relative to the elements, uncorrected, eV per atom: -2.6881

Cell lengths 6.452, 6.452, 8.206 Å; angles 106.57, 106.57, 102.96 degrees
Fractional positions:
Ac1 0.072 0.928 0.750
Ac2 0.928 0.072 0.250
Pa1 0.000 0.500 0.000
Pa2 0.500 0.000 0.500
Hg1 0.462 0.538 0.750
Hg2 0.538 0.462 0.250
O1 0.184 0.816 0.250
O2 0.190 0.250 0.065
O3 0.197 0.644 0.876
O4 0.250 0.190 0.565
O5 0.356 0.803 0.624
O6 0.644 0.197 0.376
O7 0.750 0.810 0.435
O8 0.803 0.356 0.124
O9 0.810 0.750 0.935
O10 0.816 0.184 0.750

[2]
Crystalline Ac4Hg2Pb3O2 at its relaxed geometry. Source: the Alexandria database, functional PBE-GGA.

Properties
Raw total energy, eV per atom: -4.658
Calculated volume, Å³ per atom: 31.17
DOS at the Fermi energy, states/eV/cell: 6.3
Energy relative to the elements, uncorrected, eV per atom: -1.1966

Cell lengths 4.320, 4.320, 21.214 Å; angles 90.00, 90.00, 120.00 degrees
Fractional positions:
Ac1 0.333 0.667 0.385
Ac2 0.333 0.667 0.927
Ac3 0.667 0.333 0.073
Ac4 0.667 0.333 0.615
Hg1 0.333 0.667 0.716
Hg2 0.667 0.333 0.284
Pb1 0.000 0.000 0.203
Pb2 0.000 0.000 0.500
Pb3 0.000 0.000 0.797
O1 0.333 0.667 0.043
O2 0.667 0.333 0.957

[3]
Crystalline Ac2Hg2PbO2 at its relaxed geometry. Source: the Alexandria database, functional PBE-GGA.

Properties
Raw total energy, eV per atom: -4.187
Calculated volume, Å³ per atom: 33.10
DOS at the Fermi energy, states/eV/cell: 3.5
Energy relative to the elements, uncorrected, eV per atom: -0.9810

Cell lengths 5.392, 5.392, 9.203 Å; angles 90.00, 90.00, 120.00 degrees
Fractional positions:
Ac1 0.333 0.667 0.141
Ac2 0.667 0.333 0.859
Hg1 0.000 0.000 0.177
Hg2 0.000 0.000 0.823
Pb1 0.000 0.000 0.500
O1 0.333 0.667 0.905
O2 0.667 0.333 0.095

[4]
Crystalline Ac2HgPbO6 at its relaxed geometry. Source: the Alexandria database, functional PBE-GGA.

Properties
Raw total energy, eV per atom: -6.177
Calculated volume, Å³ per atom: 17.20
Energy relative to the elements, uncorrected, eV per atom: -1.9797

Cell lengths 6.288, 6.288, 6.288 Å; angles 59.05, 59.05, 59.05 degrees
Fractional positions:
Ac1 0.000 0.000 0.000
Ac2 0.496 0.496 0.496
Hg1 0.260 0.260 0.260
Pb1 0.776 0.776 0.776
O1 0.054 0.432 0.653
O2 0.135 0.901 0.588
O3 0.432 0.653 0.054
O4 0.588 0.135 0.901
O5 0.653 0.054 0.432
O6 0.901 0.588 0.135

[5]
Crystalline AcHgPb2O4 at its relaxed geometry. Source: the Alexandria database, functional PBE-GGA.

Properties
Raw total energy, eV per atom: -5.524
Calculated volume, Å³ per atom: 21.42
DOS at the Fermi energy, states/eV/cell: 3.5
Energy relative to the elements, uncorrected, eV per atom: -1.5667

Cell lengths 4.217, 4.217, 9.635 Å; angles 90.00, 90.00, 90.00 degrees
Fractional positions:
Ac1 0.000 0.000 0.000
Hg1 0.000 0.000 0.500
Pb1 0.500 0.500 0.261
Pb2 0.500 0.500 0.739
O1 0.000 0.500 0.157
O2 0.000 0.500 0.843
O3 0.500 0.000 0.157
O4 0.500 0.000 0.843

[6]
Crystalline AcHgPbO4 at its relaxed geometry. Source: the Alexandria database, functional PBE-GGA.

Properties
Raw total energy, eV per atom: -5.473
Calculated volume, Å³ per atom: 19.30
DOS at the Fermi energy, states/eV/cell: 1.6
Energy relative to the elements, uncorrected, eV per atom: -1.4802

Cell lengths 7.219, 7.219, 7.219 Å; angles 121.94, 115.28, 92.52 degrees
Fractional positions:
Ac1 0.000 0.000 0.000
Ac2 0.500 0.000 0.500
Hg1 0.363 0.613 0.750
Hg2 0.637 0.387 0.250
Pb1 0.000 0.000 0.500
Pb2 0.000 0.500 0.000
O1 0.199 0.747 0.452
O2 0.205 0.253 0.952
O3 0.241 0.217 0.476
O4 0.241 0.765 0.024
O5 0.759 0.235 0.976
O6 0.759 0.783 0.524
O7 0.795 0.747 0.048
O8 0.801 0.253 0.548

[7]
Crystalline AcHgPbO at its relaxed geometry. Source: the Alexandria database, functional PBE-GGA.

Properties
Raw total energy, eV per atom: -4.812
Calculated volume, Å³ per atom: 27.17
DOS at the Fermi energy, states/eV/cell: 3.0
Energy relative to the elements, uncorrected, eV per atom: -1.5430

Cell lengths 4.417, 4.417, 11.139 Å; angles 90.00, 90.00, 90.00 degrees
Fractional positions:
Ac1 0.250 0.250 0.106
Ac2 0.750 0.750 0.894
Hg1 0.250 0.250 0.727
Hg2 0.750 0.750 0.273
Pb1 0.250 0.750 0.500
Pb2 0.750 0.250 0.500
O1 0.250 0.750 0.000
O2 0.750 0.250 0.000

[8]
Crystalline Ac2HgPd2O6 at its relaxed geometry. Source: the Alexandria database, functional PBE-GGA.

Properties
Raw total energy, eV per atom: -5.654
Calculated volume, Å³ per atom: 17.01
DOS at the Fermi energy, states/eV/cell: 8.0
Energy relative to the elements, uncorrected, eV per atom: -1.2307

Cell lengths 6.808, 6.808, 6.808 Å; angles 53.11, 53.11, 53.11 degrees
Fractional positions:
Ac1 0.213 0.213 0.213
Ac2 0.787 0.787 0.787
Hg1 0.000 0.000 0.000
Pd1 0.416 0.416 0.416
Pd2 0.584 0.584 0.584
O1 0.190 0.753 0.753
O2 0.247 0.247 0.810
O3 0.247 0.810 0.247
O4 0.753 0.190 0.753
O5 0.753 0.753 0.190
O6 0.810 0.247 0.247